# PBE-GGA K2LiHg, relaxed
data_K2LiHg
_chemical_formula_sum 'K2 Li1 Hg1'
_cell_length_a 3.960
_cell_length_b 3.976
_cell_length_c 10.081
_cell_angle_alpha 90.00
_cell_angle_beta 90.00
_cell_angle_gamma 90.00
_space_group_name_H-M_alt 'P m m 2'
_space_group_IT_number 25
_space_group_name_Hall 'P 2 -2'
loop_
_atom_site_label
_atom_site_fract_x
_atom_site_fract_y
_atom_site_fract_z
K1 0.000 0.000 0.000
K2 0.500 0.500 0.394
Li1 0.500 0.500 0.721
Hg1 0.000 0.000 0.647
# Magnetization, μB/cell: 0.000
# Density of states at the Fermi level, states/eV/atom: 0.691
# Energy of formation, eV/f.u.: -0.40
# Total energy, eV for the cell shown: -4.81